Entry 1:
This record from the Alexandria database describes an optimized crystal structure of HfSi2Rh. The functional is PBE.

The mass density is 8.9 g/cm³. The value obtained for the total energy is -7.716 eV/atom. For the spin magnetization, the calculation gives 0.0 μB/cell.

The structure belongs to space group R-3m (No. 166, hexagonal axes); the cell edges are 4.0091, 4.0091 and 13.5466 Å and the angles 90.00°, 90.00° and 120.00°. The distinct sites, in fractional coordinates, are Hf at (0.0000, 0.0000, 0.0000), Si at (0.0000, 0.0000, 0.2206) and Rh at (0.0000, 0.0000, 0.5000).



Entry 2:
This record from the Alexandria database describes an optimized crystal structure of Hf3SiRh. The functional is PBE.

The value obtained for the offset from the most stable computed form is 0.000 eV per formula unit. The mass density is 9.3 g/cm³. The value obtained for the total energy is -8.220 eV/atom. For the spin magnetization, the calculation gives 0.0 μB/cell.

The structure belongs to space group Pm-3m (No. 221); the cell edges are 4.922, 4.922 and 4.922 Å and the angles 90.00°, 90.00° and 90.00°. The distinct sites, in fractional coordinates, are Hf at (0.000, 0.000, 0.500), Si at (0.500, 0.500, 0.500) and Rh at (0.000, 0.000, 0.000).



Entry 3:
This record from the Alexandria database describes an optimized crystal structure of HfSi3Rh. The functional is PBE.

The mass density is 6.3 g/cm³. The value obtained for the total energy is -6.229 eV/atom. For the spin magnetization, the calculation gives 0.0 μB/cell.

The structure belongs to space group Pm-3m (No. 221); the cell edges are 4.582, 4.582 and 4.582 Å and the angles 90.00°, 90.00° and 90.00°. The distinct sites, in fractional coordinates, are Hf at (0.000, 0.000, 0.000), Si at (0.000, 0.500, 0.500) and Rh at (0.500, 0.500, 0.500).



Entry 4:
This record from the Alexandria database describes an optimized crystal structure of HfSi3Rh. The functional is PBE.

The mass density is 5.1 g/cm³. The value obtained for the total energy is -5.458 eV/atom. For the spin magnetization, the calculation gives 0.0 μB/cell.

The structure belongs to space group Pm-3m (No. 221); the cell edges are 4.917, 4.917 and 4.917 Å and the angles 90.00°, 90.00° and 90.00°. The distinct sites, in fractional coordinates, are Hf at (0.000, 0.000, 0.000), Si at (0.000, 0.000, 0.500) and Rh at (0.500, 0.500, 0.500).